[1]
The following is a GGA+U calculation of CsTl2Mo2O7 after structural relaxation, from the Alexandria database.

Geometry as extended XYZ:
```
12
Lattice="3.199 1.847 8.701 -3.199 1.847 8.701 0.000 -3.694 8.701" Properties=species:S:1:pos:R:3 pbc="T T T"
Cs 0.000 0.000 0.000
Tl 0.000 0.000 5.458
Tl 0.000 0.000 20.644
Mo 0.000 0.000 11.135
Mo 0.000 0.000 14.967
O -1.116 -1.305 10.584
O -0.573 -1.619 15.518
O -0.573 1.619 10.584
O 0.000 0.000 13.051
O -1.116 1.305 15.518
O 1.688 -0.314 10.584
O 1.688 0.314 15.518
```

Summary:
density = 4.6 Mg/m³
M_tot = 1.000 Bohr magnetons per cell
E_tot = -71.47 eV per cell


[2]
The following is a GGA+U calculation of CsTlMoO4 after structural relaxation, from the Alexandria database.

Geometry as extended XYZ:
```
7
Lattice="0.000 5.025 5.025 5.025 0.000 5.025 5.025 5.025 0.000" Properties=species:S:1:pos:R:3 pbc="T T T"
Cs 0.000 0.000 0.000
Tl 2.513 2.513 2.513
Mo 5.025 5.025 5.025
O 3.986 3.986 3.986
O 6.064 6.064 3.986
O 6.064 3.986 6.064
O 3.986 6.064 6.064
```

Summary:
density = 3.3 Mg/m³
M_tot = 0.000 Bohr magnetons per cell
E_tot = -40.62 eV per cell


[3]
The following is a GGA+U calculation of Cs2TlMoO6 after structural relaxation, from the Alexandria database.

Geometry as extended XYZ:
```
10
Lattice="6.728 0.000 0.000 -3.364 5.826 0.000 0.000 0.000 5.781" Properties=species:S:1:pos:R:3 pbc="T T T"
Cs 0.000 3.884 1.891
Cs 3.364 1.942 3.890
Tl 0.000 0.000 0.000
Mo 0.000 0.000 2.891
O 0.000 1.567 4.071
O -2.007 5.043 4.071
O 1.357 0.783 1.710
O 2.007 5.043 4.071
O 5.371 0.783 1.710
O 3.364 4.259 1.710
```

Summary:
density = 4.9 Mg/m³
M_tot = 1.049 Bohr magnetons per cell
E_tot = -52.29 eV per cell


Copy entry 3 word for word.
The following is a GGA+U calculation of Cs2TlMoO6 after structural relaxation, from the Alexandria database.

Geometry as extended XYZ:
```
10
Lattice="6.728 0.000 0.000 -3.364 5.826 0.000 0.000 0.000 5.781" Properties=species:S:1:pos:R:3 pbc="T T T"
Cs 0.000 3.884 1.891
Cs 3.364 1.942 3.890
Tl 0.000 0.000 0.000
Mo 0.000 0.000 2.891
O 0.000 1.567 4.071
O -2.007 5.043 4.071
O 1.357 0.783 1.710
O 2.007 5.043 4.071
O 5.371 0.783 1.710
O 3.364 4.259 1.710
```

Summary:
density = 4.9 Mg/m³
M_tot = 1.049 Bohr magnetons per cell
E_tot = -52.29 eV per cell


> Which of these has the lowest E_tot?

CsTl2Mo2O7


> Look up the M_tot of the third one.

1.049 Bohr magnetons per cell